5
Lattice="4.3980 0.0000 0.0000 0.0000 4.3980 0.0000 0.0000 0.0000 4.3980" Properties=species:S:1:pos:R:3 comment="RbPd3N, optimized geometry, DFT PBE-GGA" space_group="No. 221" e_form_raw_ev_per_atom=0.440 energy_ev_per_atom=-4.534 de_polymorph_mev_per_atom=0.0 pbc="T T T"
Rb 2.1990 2.1990 2.1990
Pd 0.0000 2.1990 0.0000
Pd 0.0000 0.0000 2.1990
Pd 2.1990 0.0000 0.0000
N 0.0000 0.0000 0.0000